Compound: CsTcS2
Source: Alexandria via LeMat-Bulk
Functional: PBE-GGA
Structure: optimized geometry

abc: 7.2480 7.2480 7.2480
angles: 90.00 90.00 90.00
Element x y z (fractional)
Cs  0.0000  0.0000  0.0000
Cs  0.0000  0.5000  0.5000
Cs  0.5000  0.0000  0.5000
Cs  0.5000  0.5000  0.0000
Tc  0.0000  0.0000  0.5000
Tc  0.0000  0.5000  0.0000
Tc  0.5000  0.0000  0.0000
Tc  0.5000  0.5000  0.5000
S  0.2500  0.2500  0.2500
S  0.2500  0.2500  0.7500
S  0.2500  0.7500  0.2500
S  0.2500  0.7500  0.7500
S  0.7500  0.2500  0.2500
S  0.7500  0.2500  0.7500
S  0.7500  0.7500  0.2500
S  0.7500  0.7500  0.7500

DFT total energy   -4.170 eV per atom
Energy relative to the lowest polymorph listed for this composition   1408.4 meV per atom
Energy relative to the elements, uncorrected   2.8 eV per formula unit
Symmetry   Fm-3m (225)
Crystal system   cubic